Run one
Material: RbTlB
Method: DFT, GGA-PBE
State: relaxed

a = 5.7614 Å, b = 6.3600 Å, c = 6.9753 Å
α = 110.89°, β = 114.27°, γ = 90.11°
Closest atoms and distances in Å follow each position.
Atoms (fractional coordinates):
Tl  0.9183  0.6737  0.6619  2 B 2.59
Tl  0.1982  0.4354  0.2234  2 B 2.12
B  0.8430  0.4284  0.2479  1 B 1.53
B  0.5780  0.4285  0.2484  1 B 1.53
Rb  0.6450  0.8789  0.1163  4 B 3.35-3.37
Rb  0.4332  0.1958  0.6917  2 B 3.34-3.35

The density of states at the Fermi level comes out at 1.9 states/eV/f.u. Its space-group type is P1.

Run two
Material: RbTlB
Method: DFT, GGA-PBE
State: relaxed

a = 3.2593 Å, b = 7.2243 Å, c = 7.9654 Å
α = 85.92°, β = 90.00°, γ = 103.04°
Closest atoms and distances in Å follow each position.
Atoms (fractional coordinates):
Rb  0.1311  0.2622  0.8312  3 B 3.07-3.39, 2 Rb 3.26
Rb  0.8689  0.7378  0.1688  3 B 3.07-3.39, 2 Rb 3.26
B  0.2548  0.5095  0.4976  2 B 1.64
B  0.7452  0.4905  0.5024  2 B 1.64
Tl  0.0992  0.1984  0.3413  1 B 2.60
Tl  0.9008  0.8016  0.6587  1 B 2.60

The density of states at the Fermi level comes out at 1.1 states/eV/f.u. Its space-group type is C2/m.

Which structure is most stable? run two, by 163 meV/atom over the runner-up.

Run one
Material: RbTlB2
Method: DFT, GGA-PBE
State: relaxed

a = 4.7937 Å, b = 4.7937 Å, c = 8.8406 Å
α = 74.27°, β = 74.27°, γ = 90.00°
Closest atoms and distances in Å follow each position.
Atoms (fractional coordinates):
Tl  0.0000  0.0000  0.0000  4 B 2.37
Tl  0.7500  0.2500  0.5000  4 B 2.37
B  0.8750  0.1250  0.2500  2 Tl 2.37, 2 B 2.40
B  0.8750  0.6250  0.2500  2 Tl 2.37, 2 B 2.40
B  0.3750  0.1250  0.7500  2 Tl 2.37, 2 B 2.40
B  0.8750  0.1250  0.7500  2 Tl 2.37, 2 B 2.40
Rb  0.5000  0.5000  0.0000  8 B 3.37, 4 Tl 3.39
Rb  0.2500  0.7500  0.5000  8 B 3.37, 4 Tl 3.39

The density of states at the Fermi level comes out at 0.6 states/eV/f.u. Its space-group type is I4_1/amd.

Run two
Material: RbTlB2
Method: DFT, GGA-PBE
State: relaxed

a = 4.9124 Å, b = 4.9124 Å, c = 4.9124 Å
α = 60.00°, β = 60.00°, γ = 60.00°
Closest atoms and distances in Å follow each position.
Atoms (fractional coordinates):
Tl  0.5000  0.5000  0.5000  8 B 3.01
B  0.2500  0.2500  0.2500  4 Tl 3.01, 4 Rb 3.01
B  0.7500  0.7500  0.7500  4 Tl 3.01, 4 Rb 3.01
Rb  0.0000  0.0000  0.0000  8 B 3.01

The density of states at the Fermi level comes out at 1.0 states/eV/f.u. Its space-group type is Fm-3m.

Which structure is most stable? run one, by 402 meV/atom over the runner-up.

Run one
Material: RbVB3
Method: DFT, GGA-PBE
State: relaxed

a = 4.5399 Å, b = 4.5399 Å, c = 4.5399 Å
α = 90.00°, β = 90.00°, γ = 90.00°
Closest atoms and distances in Å follow each position.
Atoms (fractional coordinates):
B  0.0000  0.5000  0.0000  2 Rb 2.27
B  0.0000  0.0000  0.5000  2 Rb 2.27
B  0.5000  0.0000  0.0000  2 Rb 2.27
Rb  0.0000  0.0000  0.0000  6 B 2.27
V  0.5000  0.5000  0.5000  12 B 3.21

The density of states at the Fermi level comes out at 8.6 states/eV/f.u. Its space-group type is Pm-3m.

Run two
Material: RbVB3
Method: DFT, GGA-PBE
State: relaxed

a = 4.3192 Å, b = 4.3192 Å, c = 4.3192 Å
α = 90.00°, β = 90.00°, γ = 90.00°
Closest atoms and distances in Å follow each position.
Atoms (fractional coordinates):
B  0.0000  0.5000  0.0000  2 V 2.16
B  0.0000  0.0000  0.5000  2 V 2.16
B  0.5000  0.0000  0.0000  2 V 2.16
Rb  0.5000  0.5000  0.5000  12 B 3.05
V  0.0000  0.0000  0.0000  6 B 2.16

The density of states at the Fermi level comes out at 6.3 states/eV/f.u. Its space-group type is Pm-3m.

Which structure is most stable? run two, by 2279 meV/atom over the runner-up.

Run one
Material: RbV3B
Method: DFT, GGA-PBE
State: relaxed

a = 4.5641 Å, b = 4.5641 Å, c = 4.5641 Å
α = 90.00°, β = 90.00°, γ = 90.00°
Closest atoms and distances in Å follow each position.
Atoms (fractional coordinates):
B  0.0000  0.0000  0.0000  6 V 2.28
Rb  0.5000  0.5000  0.5000  12 V 3.23
V  0.0000  0.5000  0.0000  2 B 2.28
V  0.0000  0.0000  0.5000  2 B 2.28
V  0.5000  0.0000  0.0000  2 B 2.28

The density of states at the Fermi level comes out at 11.0 states/eV/f.u. Its space-group type is Pm-3m.

Run two
Material: RbV3B
Method: DFT, GGA-PBE
State: relaxed

a = 4.3955 Å, b = 4.3955 Å, c = 4.3955 Å
α = 90.00°, β = 90.00°, γ = 90.00°
Closest atoms and distances in Å follow each position.
Atoms (fractional coordinates):
B  0.5000  0.5000  0.5000  12 V 3.11
Rb  0.0000  0.0000  0.0000  6 V 2.20
V  0.0000  0.5000  0.0000  2 Rb 2.20
V  0.0000  0.0000  0.5000  2 Rb 2.20
V  0.5000  0.0000  0.0000  2 Rb 2.20

The density of states at the Fermi level comes out at 2.4 states/eV/f.u. Its space-group type is Pm-3m.

Which structure is most stable? run one, by 2067 meV/atom over the runner-up.

Run one
Material: RbB3W
Method: DFT, GGA-PBE
State: relaxed

a = 4.1613 Å, b = 4.1613 Å, c = 4.1613 Å
α = 90.00°, β = 90.00°, γ = 90.00°
Closest atoms and distances in Å follow each position.
Atoms (fractional coordinates):
B  0.0000  0.5000  0.0000  2 Rb 2.08
B  0.0000  0.0000  0.5000  2 Rb 2.08
B  0.5000  0.0000  0.0000  2 Rb 2.08
Rb  0.0000  0.0000  0.0000  6 B 2.08
W  0.5000  0.5000  0.5000  12 B 2.94

The density of states at the Fermi level comes out at 5.7 states/eV/f.u. Its space-group type is Pm-3m.

Run two
Material: RbB3W
Method: DFT, GGA-PBE
State: relaxed

a = 4.3942 Å, b = 4.3942 Å, c = 4.3942 Å
α = 90.00°, β = 90.00°, γ = 90.00°
Closest atoms and distances in Å follow each position.
Atoms (fractional coordinates):
B  0.0000  0.5000  0.0000  2 W 2.20
B  0.0000  0.0000  0.5000  2 W 2.20
B  0.5000  0.0000  0.0000  2 W 2.20
Rb  0.5000  0.5000  0.5000  12 B 3.11
W  0.0000  0.0000  0.0000  6 B 2.20

The density of states at the Fermi level comes out at 1.8 states/eV/f.u. Its space-group type is Pm-3m.

Which structure is most stable? run two, by 2861 meV/atom over the runner-up.

Run one
Material: RbBW3
Method: DFT, GGA-PBE
State: relaxed

a = 4.6832 Å, b = 4.6832 Å, c = 4.6832 Å
α = 90.00°, β = 90.00°, γ = 90.00°
Closest atoms and distances in Å follow each position.
Atoms (fractional coordinates):
B  0.5000  0.5000  0.5000  12 W 3.31
Rb  0.0000  0.0000  0.0000  6 W 2.34
W  0.0000  0.5000  0.0000  2 Rb 2.34
W  0.0000  0.0000  0.5000  2 Rb 2.34
W  0.5000  0.0000  0.0000  2 Rb 2.34

The density of states at the Fermi level comes out at 6.1 states/eV/f.u. Its space-group type is Pm-3m.

Run two
Material: RbBW3
Method: DFT, GGA-PBE
State: relaxed

a = 4.4439 Å, b = 4.4439 Å, c = 4.4439 Å
α = 90.00°, β = 90.00°, γ = 90.00°
Closest atoms and distances in Å follow each position.
Atoms (fractional coordinates):
B  0.0000  0.0000  0.0000  6 W 2.22
Rb  0.5000  0.5000  0.5000  12 W 3.14
W  0.0000  0.5000  0.0000  2 B 2.22
W  0.0000  0.0000  0.5000  2 B 2.22
W  0.5000  0.0000  0.0000  2 B 2.22

The density of states at the Fermi level comes out at 4.7 states/eV/f.u. Its space-group type is Pm-3m.

Which structure is most stable? run two, by 3120 meV/atom over the runner-up.

Run one
Material: Re3B
Method: DFT, GGA-PBE
State: relaxed

a = 2.9144 Å, b = 4.6531 Å, c = 4.7135 Å
α = 119.58°, β = 108.01°, γ = 90.00°
Closest atoms and distances in Å follow each position.
Atoms (fractional coordinates):
Re  0.3033  0.6762  0.6065  2 B 2.23
Re  0.5000  0.3834  0.0000  2 B 2.17
Re  0.6967  0.0697  0.3935  2 B 2.23
B  0.0000  0.0374  0.0000  6 Re 2.17-2.23

The density of states at the Fermi level comes out at 2.5 states/eV/f.u. Its space-group type is Imm2.

Run two
Material: Re3B
Method: DFT, GGA-PBE
State: relaxed

a = 2.9052 Å, b = 5.6419 Å, c = 6.4622 Å
α = 103.37°, β = 90.00°, γ = 90.00°
Closest atoms and distances in Å follow each position.
Atoms (fractional coordinates):
Re  0.7500  0.8969  0.1395  2 B 2.22
Re  0.2500  0.1031  0.8605  2 B 2.22
Re  0.7500  0.4410  0.1619  2 B 2.20
Re  0.2500  0.5590  0.8381  2 B 2.20
Re  0.7500  0.2298  0.5290  2 B 2.23
Re  0.2500  0.7702  0.4710  2 B 2.23
B  0.7500  0.8048  0.7390  6 Re 2.20-2.23
B  0.2500  0.1952  0.2610  6 Re 2.20-2.23

The density of states at the Fermi level comes out at 2.0 states/eV/f.u. Its space-group type is P2_1/m.

Run three
Material: Re3B
Method: DFT, GGA-PBE
State: relaxed

a = 4.9323 Å, b = 4.9323 Å, c = 7.3623 Å
α = 90.00°, β = 90.00°, γ = 145.70°
Closest atoms and distances in Å follow each position.
Atoms (fractional coordinates):
Re  0.1331  0.8669  0.4344  2 B 2.25
Re  0.8669  0.1331  0.5656  2 B 2.25
Re  0.5758  0.4242  0.7500  2 B 2.23
Re  0.4242  0.5758  0.2500  2 B 2.23
Re  0.1331  0.8669  0.0656  2 B 2.25
Re  0.8669  0.1331  0.9344  2 B 2.25
B  0.7452  0.2548  0.2500  6 Re 2.23-2.25
B  0.2548  0.7452  0.7500  6 Re 2.23-2.25

The density of states at the Fermi level comes out at 2.1 states/eV/f.u. Its space-group type is Cmcm.

Run four
Material: Re3B
Method: DFT, GGA-PBE
State: relaxed

a = 4.5885 Å, b = 9.4305 Å, c = 9.4305 Å
α = 90.00°, β = 90.00°, γ = 90.00°
Closest atoms and distances in Å follow each position.
Atoms (fractional coordinates):
Re  0.9911  0.2763  0.8310  3 B 2.37-2.52, 3 Re 2.59-2.63
Re  0.9911  0.7237  0.1690  3 B 2.37-2.52, 3 Re 2.59-2.63
Re  0.4911  0.6690  0.7763  3 B 2.37-2.52, 3 Re 2.59-2.63
Re  0.4911  0.3310  0.2237  3 B 2.37-2.52, 3 Re 2.59-2.63
Re  0.5089  0.2237  0.6690  3 B 2.37-2.52, 3 Re 2.59-2.63
Re  0.5089  0.7763  0.3310  3 B 2.37-2.52, 3 Re 2.59-2.63
Re  0.0089  0.8310  0.7237  3 B 2.37-2.52, 3 Re 2.59-2.63
Re  0.0089  0.1690  0.2763  3 B 2.37-2.52, 3 Re 2.59-2.63
Re  0.5000  0.3878  0.9222  2 B 2.34-2.39, 1 Re 2.58
Re  0.5000  0.6122  0.0778  2 B 2.34-2.39, 1 Re 2.58
Re  0.0000  0.5778  0.8878  2 B 2.34-2.39, 1 Re 2.58
Re  0.0000  0.4222  0.1122  2 B 2.34-2.39, 1 Re 2.58
Re  0.0000  0.1122  0.5778  2 B 2.34-2.39, 1 Re 2.58
Re  0.0000  0.8878  0.4222  2 B 2.34-2.39, 1 Re 2.58
Re  0.5000  0.9222  0.6122  2 B 2.34-2.39, 1 Re 2.58
Re  0.5000  0.0778  0.3878  2 B 2.34-2.39, 1 Re 2.58
Re  0.7390  0.0282  0.8630  4 B 2.36-2.44, 3 Re 2.59-2.64
Re  0.7390  0.9718  0.1370  4 B 2.36-2.44, 3 Re 2.59-2.64
Re  0.2390  0.6370  0.5282  4 B 2.36-2.44, 3 Re 2.59-2.64
Re  0.2390  0.3630  0.4718  4 B 2.36-2.44, 3 Re 2.59-2.64
Re  0.7610  0.4718  0.6370  4 B 2.36-2.44, 3 Re 2.59-2.64
Re  0.7610  0.5282  0.3630  4 B 2.36-2.44, 3 Re 2.59-2.64
Re  0.2610  0.8630  0.9718  4 B 2.36-2.44, 3 Re 2.59-2.64
Re  0.2610  0.1370  0.0282  4 B 2.36-2.44, 3 Re 2.59-2.64
B  0.7516  0.7902  0.9556  9 Re 2.34-2.52
B  0.7516  0.2098  0.0444  9 Re 2.34-2.52
B  0.2516  0.5444  0.2902  9 Re 2.34-2.52
B  0.2516  0.4556  0.7098  9 Re 2.34-2.52
B  0.7484  0.7098  0.5444  9 Re 2.34-2.52
B  0.7484  0.2902  0.4556  9 Re 2.34-2.52
B  0.2484  0.9556  0.2098  9 Re 2.34-2.52
B  0.2484  0.0444  0.7902  9 Re 2.34-2.52

The density of states at the Fermi level comes out at 2.2 states/eV/f.u. Its space-group type is P4_2/n.

Which structure is most stable? run three, by 95 meV/atom over the runner-up.

Run one
Material: Re2B
Method: DFT, GGA-PBE
State: relaxed

a = 4.5552 Å, b = 4.5845 Å, c = 8.1208 Å
α = 81.99°, β = 73.71°, γ = 60.21°
Closest atoms and distances in Å follow each position.
Atoms (fractional coordinates):
Re  0.4189  0.1622  0.5000  4 B 2.36, 2 Re 2.62
Re  0.0811  0.8378  0.5000  4 B 2.36, 2 Re 2.62
Re  0.3311  0.3378  0.0000  4 B 2.36, 2 Re 2.62
Re  0.6689  0.6622  0.0000  4 B 2.36, 2 Re 2.62
Re  0.0835  0.0000  0.8330  4 B 2.36-2.38, 3 Re 2.60-2.63
Re  0.9165  0.0000  0.1670  4 B 2.36-2.38, 3 Re 2.60-2.63
Re  0.6665  0.5000  0.6670  4 B 2.36-2.38, 3 Re 2.60-2.63
Re  0.8335  0.5000  0.3330  4 B 2.36-2.38, 3 Re 2.60-2.63
B  0.1257  0.5000  0.7487  2 B 2.29, 8 Re 2.36-2.38
B  0.3743  0.5000  0.2513  2 B 2.29, 8 Re 2.36-2.38
B  0.6243  0.0000  0.7513  2 B 2.29, 8 Re 2.36-2.38
B  0.3757  0.0000  0.2487  2 B 2.29, 8 Re 2.36-2.38

The density of states at the Fermi level comes out at 1.4 states/eV/f.u. Its space-group type is Fddd.

Run two
Material: Re2B
Method: DFT, GGA-PBE
State: relaxed

a = 4.6104 Å, b = 4.5421 Å, c = 4.5421 Å
α = 75.07°, β = 59.50°, γ = 59.50°
Closest atoms and distances in Å follow each position.
Atoms (fractional coordinates):
Re  0.8343  0.5000  0.8314  4 B 2.36, 1 Re 2.59
Re  0.1657  0.5000  0.1686  4 B 2.36, 1 Re 2.59
Re  0.3343  0.8314  0.5000  4 B 2.36, 1 Re 2.59
Re  0.6657  0.1686  0.5000  4 B 2.36, 1 Re 2.59
B  0.2500  0.0000  0.0000  2 B 2.31, 8 Re 2.36
B  0.7500  0.0000  0.0000  2 B 2.31, 8 Re 2.36

The density of states at the Fermi level comes out at 1.4 states/eV/f.u. Its space-group type is I4/mcm.

Which structure is most stable? run one, by 7 meV/atom over the runner-up.